BePF: relaxed, PBE.

Geometry as POSCAR:
```
BePF
1.0
-1.460 -1.020 -1.922
-2.746 -2.389 3.353
-8.399 10.666 0.720
P Be F
4 4 4
Cartesian
-6.343 3.469 2.977
-4.803 4.809 1.096
-1.500 -1.180 -0.020
-2.706 -2.229 1.452
-8.065 8.805 -0.332
-1.794 0.841 -0.870
-4.509 2.787 1.945
-6.637 5.490 2.128
-1.593 2.023 0.137
-6.806 8.643 0.583
-7.896 5.652 1.212
-4.709 1.606 0.939
```

Raw formation energy: -1.544 eV/atom
SG: Immm
Relative energy among the computed polymorphs: 0 meV per atom

PuMnGa3: relaxed, PBE.

Geometry as POSCAR:
```
PuMnGa3
1.0
4.070 0.000 0.000
0.000 4.070 0.000
-2.035 -2.035 5.618
Pu Mn Ga
1 1 3
Cartesian
0.000 0.000 0.240
2.035 2.035 1.430
0.000 2.035 2.965
2.035 0.000 2.965
0.000 0.000 4.650
```

SG: I4mm
Relative energy among the computed polymorphs: 0 meV per atom

TaIn2Ag: relaxed, PBE.

Geometry as POSCAR:
```
TaIn2Ag
1.0
3.002 0.000 0.000
0.000 4.150 0.000
0.000 0.000 6.473
In Ag Ta
2 1 1
Cartesian
0.000 0.000 0.013
0.000 0.000 3.224
1.501 2.075 4.855
1.501 2.075 1.618
```

SG: Pmmm
Relative energy among the computed polymorphs: 115 meV per atom

La3Nd2In2: relaxed, PBE.

Geometry as POSCAR:
```
La3Nd2In2
1.0
-3.195 -4.233 2.408
2.347 -0.491 -4.792
6.237 1.232 10.438
La Nd In
3 2 2
Cartesian
-1.597 -2.116 1.204
1.003 -2.037 4.792
4.386 -1.454 3.262
4.234 -3.423 6.642
1.155 -0.069 1.412
1.093 -3.664 2.052
4.296 0.173 6.002
```

SG: C2/m
Relative energy among the computed polymorphs: 30 meV per atom

Cd2GaHg8: relaxed, PBE.

Geometry as POSCAR:
```
Cd2GaHg8
1.0
4.537 0.000 0.000
0.000 4.537 0.000
0.000 0.000 13.636
Cd Ga Hg
2 1 8
Cartesian
0.000 0.000 4.374
0.000 0.000 9.262
0.000 0.000 0.000
0.000 2.269 6.818
2.269 0.000 6.818
2.269 2.269 4.296
2.269 2.269 9.339
0.000 2.269 1.862
2.269 0.000 1.862
0.000 2.269 11.773
2.269 0.000 11.773
```

SG: P4/mmm
Relative energy among the computed polymorphs: 5 meV per atom

Ti4Ga5Au3: relaxed, PBE.

Geometry as POSCAR:
```
Ti4Ga5Au3
1.0
4.745 0.000 0.000
2.372 7.452 -0.416
2.372 1.133 6.201
Ti Ga Au
4 5 3
Cartesian
2.372 1.838 4.936
4.745 6.597 4.468
4.745 1.988 1.318
7.117 6.747 0.849
7.117 7.231 5.805
4.745 4.292 2.893
2.372 3.935 0.419
7.117 4.650 5.366
2.372 1.354 -0.019
4.745 7.584 1.972
2.372 4.292 2.893
4.745 1.000 3.813
```

VASP energy: -4.87 eV per atom
SG: C2/m

PmY8Ir6: relaxed, PBE.

Geometry as POSCAR:
```
PmY8Ir6
1.0
7.025 0.026 3.150
2.050 6.719 3.150
0.035 0.026 7.698
Pm Y Ir
1 8 6
Cartesian
0.000 0.000 0.000
2.729 3.717 9.287
2.378 5.230 6.263
3.420 0.769 7.742
6.061 4.505 9.314
3.048 2.266 4.684
5.689 6.001 6.256
6.731 1.541 7.735
6.381 3.054 4.710
1.230 2.647 6.974
3.903 6.356 8.532
4.880 1.905 10.049
4.229 4.866 3.949
5.206 0.415 5.466
7.879 4.124 7.024
```

VASP energy: -8.04 eV per atom
SG: R-3

LiPr2TeS6: relaxed, PBE.

Geometry as POSCAR:
```
LiPr2TeS6
1.0
6.630 0.000 0.090
0.000 7.276 0.000
0.186 0.000 9.418
Li Pr Te S
2 4 2 12
Cartesian
3.315 0.000 0.045
0.093 3.638 4.709
0.290 6.537 2.388
3.699 4.377 7.141
6.526 0.739 7.120
3.118 2.899 2.366
3.408 0.000 4.754
0.000 3.638 0.000
2.132 4.959 0.576
5.540 5.956 5.330
4.684 2.318 8.931
1.276 1.320 4.177
2.231 5.016 4.197
5.639 5.898 8.950
4.586 2.260 5.311
1.178 1.378 0.557
5.797 3.910 2.490
2.574 7.005 7.154
1.020 3.367 7.018
4.242 0.272 2.354
```

Raw formation energy: -1.136 eV/atom
SG: P2_1/c

CsBaPO4: relaxed, PBE.

Geometry as POSCAR:
```
CsBaPO4
1.0
6.229 0.000 0.243
0.000 5.881 0.000
-2.126 0.000 8.026
Cs Ba P O
2 2 2 8
Cartesian
2.516 4.410 7.838
1.586 1.470 0.431
3.779 4.410 3.859
0.323 1.470 4.410
0.694 4.410 2.585
3.409 1.470 5.685
4.291 2.732 5.962
-0.189 5.672 2.308
-0.189 3.149 2.308
4.291 0.209 5.962
1.993 4.410 1.729
2.110 1.470 6.540
1.072 4.410 4.112
3.031 1.470 4.157
```

Raw formation energy: -2.597 eV/atom
SG: P2_1/m

NdHfZr2N4: relaxed, PBE.

Geometry as POSCAR:
```
NdHfZr2N4
1.0
6.682 0.002 -0.004
-0.003 6.682 -0.004
-3.313 -3.315 4.729
Nd Hf Zr N
2 2 4 8
Cartesian
-0.002 3.341 -0.002
5.024 1.685 2.357
1.683 1.684 2.360
3.369 -3.313 4.724
3.341 0.001 -0.002
1.685 -1.657 2.362
-1.656 -1.658 2.364
3.339 3.342 -0.004
1.705 5.123 0.099
3.243 -0.023 2.256
0.123 3.391 2.463
1.661 -1.754 4.621
1.661 1.801 4.673
3.249 3.390 2.407
0.117 -0.021 2.313
1.704 1.567 0.047
```

Raw formation energy: -1.573 eV/atom
SG: Imma

FeSi3P: relaxed, PBE.

Geometry as POSCAR:
```
FeSi3P
1.0
-2.522 -0.513 3.486
2.745 -2.975 1.547
2.210 3.109 2.056
P Si Fe
1 3 1
Cartesian
1.217 -0.190 3.545
1.372 -1.488 0.774
1.105 1.554 1.028
-1.261 -0.256 1.743
0.000 0.000 0.000
```

Raw formation energy: 0.415 eV/atom
SG: Pm-3m
Relative energy among the computed polymorphs: 0 meV per atom

Ce3GeIr2: relaxed, PBE.

Geometry as POSCAR:
```
Ce3GeIr2
1.0
3.666 0.000 0.000
0.000 5.322 0.000
0.000 0.000 14.105
Ce Ge Ir
6 2 4
Cartesian
1.479 2.661 9.546
2.026 0.000 7.052
1.479 2.661 4.559
2.187 0.000 2.493
1.640 2.661 0.000
2.187 0.000 11.611
3.531 2.661 7.052
0.135 0.000 0.000
0.409 0.000 9.353
0.409 0.000 4.751
3.257 2.661 2.301
3.257 2.661 11.804
```

VASP energy: -7.31 eV per atom
SG: Pmmn